Entry from Alexandria via LeMat-Bulk: crystalline SrNiH2F at its relaxed geometry (PBE with a Hubbard U).

abc: 4.596 4.579 4.596
angles: 90.00 90.00 90.00
Last column: magnetic moment on the atom in μB.
Positions (direct):
Sr  0.000  0.000  0.000  0.00
F  0.000  0.500  0.000  0.00
H  0.000  0.000  0.500  0.00
H  0.500  0.000  0.000  -0.01
Ni  0.500  0.500  0.500  0.97

Values from the calculation:
- Space group: No. 123
- Magnetization: 0.200 μB per atom
- VASP energy: -14.4 eV for the cell shown